Entry 1:
# GGA-PBE Na5Sn4Pb2, relaxed
# ΔE_f   -0.0817 eV per atom
# Total DFT energy (no corrections)   -2.811 eV per atom
data_Na5Sn4Pb2
_chemical_formula_sum 'Na10 Sn8 Pb4'
_cell_length_a 12.113
_cell_length_b 6.510
_cell_length_c 9.566
_cell_angle_alpha 90.00
_cell_angle_beta 121.61
_cell_angle_gamma 90.00
_symmetry_space_group_name_H-M 'C 1 2/m 1'
_symmetry_Int_Tables_number 12
loop_
_symmetry_equiv_pos_as_xyz
'x,y,z'
'-x,-y,-z'
'-x,y,-z'
'x,-y,z'
'x+1/2,y+1/2,z'
'-x+1/2,-y+1/2,-z'
'-x+1/2,y+1/2,-z'
'x+1/2,-y+1/2,z'
loop_
_atom_site_label
_atom_site_fract_x
_atom_site_fract_y
_atom_site_fract_z
Na1 0.000 0.000 0.000
Na2 0.004 0.250 0.321
Sn1 0.232 0.500 0.659
Sn2 0.235 0.500 0.990
Pb1 0.247 0.000 0.670

=====

Entry 2:
# GGA-PBE Na6SnPb2, relaxed
# ΔE_f   -0.1492 eV per atom
# Polymorph energy (0 for the lowest one)   0.000 eV/atom
# Total DFT energy (no corrections)   -2.297 eV per atom
data_Na6SnPb2
_chemical_formula_sum 'Na12 Sn2 Pb4'
_cell_length_a 16.078
_cell_length_b 9.303
_cell_length_c 3.360
_cell_angle_alpha 90.00
_cell_angle_beta 90.02
_cell_angle_gamma 90.00
_symmetry_space_group_name_H-M 'C 1 2/m 1'
_symmetry_Int_Tables_number 12
loop_
_symmetry_equiv_pos_as_xyz
'x,y,z'
'-x,-y,-z'
'-x,y,-z'
'x,-y,z'
'x+1/2,y+1/2,z'
'-x+1/2,-y+1/2,-z'
'-x+1/2,y+1/2,-z'
'x+1/2,-y+1/2,z'
loop_
_atom_site_label
_atom_site_fract_x
_atom_site_fract_y
_atom_site_fract_z
Na1 0.000 0.170 0.000
Na2 0.165 0.335 0.998
Sn1 0.000 0.500 0.500
Pb1 0.167 0.000 0.500

=====

Entry 3:
# GGA-PBE NaSn3Pb3, relaxed
# ΔE_f   0.2241 eV per atom
# Total DFT energy (no corrections)   -3.269 eV per atom
data_NaSn3Pb3
_chemical_formula_sum 'Na2 Sn6 Pb6'
_cell_length_a 8.412
_cell_length_b 8.412
_cell_length_c 8.412
_cell_angle_alpha 90.00
_cell_angle_beta 90.00
_cell_angle_gamma 90.00
_symmetry_space_group_name_H-M 'P m -3 n'
_symmetry_Int_Tables_number 223
_symmetry_space_group_name_Hall '-P 4n 2 3'
loop_
_atom_site_label
_atom_site_fract_x
_atom_site_fract_y
_atom_site_fract_z
Na1 0.000 0.000 0.000
Sn1 0.000 0.250 0.500
Pb1 0.000 0.500 0.250

=====

Entry 4:
# GGA-PBE NaSnPb2, relaxed
# ΔE_f   -0.0636 eV per atom
# Total DFT energy (no corrections)   -3.248 eV per atom
data_NaSnPb2
_chemical_formula_sum 'Na1 Sn1 Pb2'
_cell_length_a 4.095
_cell_length_b 4.095
_cell_length_c 7.032
_cell_angle_alpha 90.00
_cell_angle_beta 90.00
_cell_angle_gamma 90.00
_symmetry_space_group_name_H-M 'P 4/m m m'
_symmetry_Int_Tables_number 123
_symmetry_space_group_name_Hall '-P 4 2'
loop_
_atom_site_label
_atom_site_fract_x
_atom_site_fract_y
_atom_site_fract_z
Na1 0.000 0.000 0.000
Sn1 0.000 0.000 0.500
Pb1 0.500 0.500 0.266

=====

Entry 5:
# GGA-PBE NaSnPb6, relaxed
# ΔE_f   0.0629 eV per atom
# Total DFT energy (no corrections)   -3.384 eV per atom
data_NaSnPb6
_chemical_formula_sum 'Na2 Sn2 Pb12'
_cell_length_a 7.521
_cell_length_b 12.351
_cell_length_c 6.611
_cell_angle_alpha 90.00
_cell_angle_beta 124.21
_cell_angle_gamma 90.00
_symmetry_space_group_name_H-M 'C 1 2/m 1'
_symmetry_Int_Tables_number 12
loop_
_symmetry_equiv_pos_as_xyz
'x,y,z'
'-x,-y,-z'
'-x,y,-z'
'x,-y,z'
'x+1/2,y+1/2,z'
'-x+1/2,-y+1/2,-z'
'-x+1/2,y+1/2,-z'
'x+1/2,-y+1/2,z'
loop_
_atom_site_label
_atom_site_fract_x
_atom_site_fract_y
_atom_site_fract_z
Na1 0.000 0.000 0.000
Sn1 0.000 0.000 0.500
Pb1 0.001 0.235 0.253
Pb2 0.020 0.500 0.262

=====

Entry 6:
# GGA-PBE Na3SnPb3, relaxed
# ΔE_f   -0.1229 eV per atom
# Polymorph energy (0 for the lowest one)   0.000 eV/atom
# Total DFT energy (no corrections)   -2.849 eV per atom
data_Na3SnPb3
_chemical_formula_sum 'Na6 Sn2 Pb6'
_cell_length_a 9.2098
_cell_length_b 9.2098
_cell_length_c 5.5039
_cell_angle_alpha 90.00
_cell_angle_beta 90.00
_cell_angle_gamma 120.00
_symmetry_space_group_name_H-M 'P 63/m'
_symmetry_Int_Tables_number 176
_symmetry_space_group_name_Hall '-P 6c'
loop_
_atom_site_label
_atom_site_fract_x
_atom_site_fract_y
_atom_site_fract_z
Na1 0.1002 0.4857 0.2500
Sn1 0.3333 0.6667 0.7500
Pb1 0.0755 0.2564 0.7500

=====

Entry 7:
# GGA-PBE Na2SnPb2, relaxed
# ΔE_f   0.0712 eV per atom
# Polymorph energy (0 for the lowest one)   0.209 eV/atom
# Total DFT energy (no corrections)   -2.740 eV per atom
data_Na2SnPb2
_chemical_formula_sum 'Na4 Sn2 Pb4'
_cell_length_a 4.470
_cell_length_b 4.470
_cell_length_c 15.413
_cell_angle_alpha 90.00
_cell_angle_beta 90.00
_cell_angle_gamma 90.00
_symmetry_space_group_name_H-M 'I 4/m m m'
_symmetry_Int_Tables_number 139
_symmetry_space_group_name_Hall '-I 4 2'
loop_
_atom_site_label
_atom_site_fract_x
_atom_site_fract_y
_atom_site_fract_z
Na1 0.000 0.500 0.250
Sn1 0.000 0.000 0.000
Pb1 0.000 0.000 0.404

=====

Entry 8:
# GGA-PBE NaSnPb3, relaxed
# ΔE_f   0.3634 eV per atom
# Polymorph energy (0 for the lowest one)   0.419 eV/atom
# Total DFT energy (no corrections)   -2.926 eV per atom
data_NaSnPb3
_chemical_formula_sum 'Na1 Sn1 Pb3'
_cell_length_a 5.901
_cell_length_b 5.901
_cell_length_c 5.901
_cell_angle_alpha 90.00
_cell_angle_beta 90.00
_cell_angle_gamma 90.00
_symmetry_space_group_name_H-M 'P m -3 m'
_symmetry_Int_Tables_number 221
_symmetry_space_group_name_Hall '-P 4 2 3'
loop_
_atom_site_label
_atom_site_fract_x
_atom_site_fract_y
_atom_site_fract_z
Na1 0.000 0.000 0.000
Sn1 0.500 0.500 0.500
Pb1 0.000 0.500 0.500

=====

Entry 9:
# GGA-PBE NaSn3Pb12, relaxed
# ΔE_f   0.0009 eV per atom
# Total DFT energy (no corrections)   -3.613 eV per atom
data_NaSn3Pb12
_chemical_formula_sum 'Na1 Sn3 Pb12'
_cell_length_a 4.890
_cell_length_b 4.890
_cell_length_c 20.493
_cell_angle_alpha 90.00
_cell_angle_beta 90.00
_cell_angle_gamma 90.00
_symmetry_space_group_name_H-M 'P 4/m m m'
_symmetry_Int_Tables_number 123
_symmetry_space_group_name_Hall '-P 4 2'
loop_
_atom_site_label
_atom_site_fract_x
_atom_site_fract_y
_atom_site_fract_z
Na1 0.000 0.000 0.000
Sn1 0.000 0.000 0.246
Sn2 0.000 0.000 0.500
Pb1 0.000 0.500 0.122
Pb2 0.000 0.500 0.374
Pb3 0.500 0.500 0.000
Pb4 0.500 0.500 0.249
Pb5 0.500 0.500 0.500

=====

Entry 10:
# GGA-PBE Na2SnPb3, relaxed
# ΔE_f   -0.1030 eV per atom
# Polymorph energy (0 for the lowest one)   0.013 eV/atom
# Total DFT energy (no corrections)   -3.064 eV per atom
data_Na2SnPb3
_chemical_formula_sum 'Na8 Sn4 Pb12'
_cell_length_a 16.701
_cell_length_b 6.903
_cell_length_c 6.114
_cell_angle_alpha 90.00
_cell_angle_beta 91.60
_cell_angle_gamma 90.00
_symmetry_space_group_name_H-M 'C 1 2/c 1'
_symmetry_Int_Tables_number 15
loop_
_symmetry_equiv_pos_as_xyz
'x,y,z'
'-x,-y,-z'
'-x,y,-z+1/2'
'x,-y,z+1/2'
'x+1/2,y+1/2,z'
'-x+1/2,-y+1/2,-z'
'-x+1/2,y+1/2,-z+1/2'
'x+1/2,-y+1/2,z+1/2'
loop_
_atom_site_label
_atom_site_fract_x
_atom_site_fract_y
_atom_site_fract_z
Na1 0.165 0.120 0.414
Sn1 0.000 0.133 0.750
Pb1 0.000 0.359 0.250
Pb2 0.163 0.380 0.902

=====

Entry 11:
# GGA-PBE Na3SnPb6, relaxed
# ΔE_f   -0.0908 eV per atom
# Total DFT energy (no corrections)   -3.112 eV per atom
data_Na3SnPb6
_chemical_formula_sum 'Na6 Sn2 Pb12'
_cell_length_a 3.520
_cell_length_b 6.073
_cell_length_c 27.728
_cell_angle_alpha 90.00
_cell_angle_beta 90.33
_cell_angle_gamma 90.00
_symmetry_space_group_name_H-M 'P 1 21/c 1'
_symmetry_Int_Tables_number 14
loop_
_symmetry_equiv_pos_as_xyz
'x,y,z'
'-x,-y,-z'
'-x,y+1/2,-z+1/2'
'x,-y+1/2,z+1/2'
loop_
_atom_site_label
_atom_site_fract_x
_atom_site_fract_y
_atom_site_fract_z
Na1 0.000 0.000 0.000
Na2 0.002 0.132 0.301
Sn1 0.500 0.000 0.500
Pb1 0.005 0.688 0.901
Pb2 0.496 0.127 0.198
Pb3 0.498 0.689 0.599

=====

Entry 12:
# GGA-PBE NaSn3Pb, relaxed
# ΔE_f   0.5256 eV per atom
# Polymorph energy (0 for the lowest one)   0.559 eV/atom
# Total DFT energy (no corrections)   -2.882 eV per atom
data_NaSn3Pb
_chemical_formula_sum 'Na1 Sn3 Pb1'
_cell_length_a 5.873
_cell_length_b 5.873
_cell_length_c 5.873
_cell_angle_alpha 90.00
_cell_angle_beta 90.00
_cell_angle_gamma 90.00
_symmetry_space_group_name_H-M 'P m -3 m'
_symmetry_Int_Tables_number 221
_symmetry_space_group_name_Hall '-P 4 2 3'
loop_
_atom_site_label
_atom_site_fract_x
_atom_site_fract_y
_atom_site_fract_z
Na1 0.000 0.000 0.000
Sn1 0.000 0.500 0.500
Pb1 0.500 0.500 0.500

=====

Which of these has the lowest total DFT energy (no corrections)?
NaSn3Pb12